Computed, not measured: a relaxed LiAl2Mo crystal at the PBE level of DFT.

Lattice parameters (Å, degrees): 5.0751 5.0751 5.0751 137.37 137.37 61.87
Positions (direct):
Li1 0.0000 0.0000 0.0000
Al1 0.5000 0.5000 0.0000
Al2 0.7500 0.2500 0.5000
Mo1 0.2500 0.7500 0.5000

Properties
The polymorph energy (0 for the lowest one) comes out at 0.113 eV per atom. For the formation energy, the calculation gives -0.08 eV per atom. As for the symmetry: I-4m2, No. 119. For the calculated total energy, the calculation gives -20.54 eV/f.u.

Computed, not measured: a relaxed Ca2Cu crystal at the PBE level of DFT.

Lattice parameters (Å, degrees): 6.9650 6.9650 7.0716 90.00 90.00 148.56
Positions (direct):
Ca1 0.0167 0.9833 0.5000
Ca2 0.2799 0.7201 0.3221
Ca3 0.7201 0.2799 0.8221
Ca4 0.9833 0.0167 0.0000
Cu1 0.3842 0.6158 0.7174
Cu2 0.6158 0.3842 0.2174

Properties
For the formation energy, the calculation gives -0.05 eV per atom. As for the symmetry: Cmc2_1, No. 36. For the calculated total energy, the calculation gives -8.25 eV/f.u.

Computed, not measured: a relaxed Tb3GdIr crystal at the PBE level of DFT.

Lattice parameters (Å, degrees): 5.4590 5.4590 5.4590 90.00 90.00 90.00
Positions (direct):
Tb1 0.0000 0.0000 0.5000
Tb2 0.0000 0.5000 0.0000
Tb3 0.5000 0.0000 0.0000
Gd1 0.5000 0.5000 0.5000
Ir1 0.0000 0.0000 0.0000

Properties
For the formation energy, the calculation gives -0.26 eV per atom. As for the symmetry: Pm-3m, No. 221. For the calculated total energy, the calculation gives -38.14 eV/f.u.

Computed, not measured: a relaxed Sc2TlSn2 crystal at the PBE level of DFT.

Lattice parameters (Å, degrees): 7.9889 7.9889 3.9158 90.00 90.00 90.00
Positions (direct):
Sc1 0.1758 0.3242 0.0000
Sc2 0.3242 0.8242 0.0000
Sc3 0.6758 0.1758 0.0000
Sc4 0.8242 0.6758 0.0000
Tl1 0.0000 0.0000 0.5000
Tl2 0.5000 0.5000 0.5000
Sn1 0.1262 0.6262 0.5000
Sn2 0.3738 0.1262 0.5000
Sn3 0.6262 0.8738 0.5000
Sn4 0.8738 0.3738 0.5000

Properties
The polymorph energy (0 for the lowest one) comes out at 0.040 eV per atom. For the formation energy, the calculation gives -0.32 eV per atom. As for the symmetry: P4/mbm, No. 127. For the calculated total energy, the calculation gives -24.65 eV/f.u.

Q: calculated total energy of number 2 (Ca2Cu)?
A: -8.25 eV/f.u.

Q: The highest calculated total energy belongs to which entry?
A: Ca2Cu